Record 1
# Ba2GdCd (PBE, relaxed)
data_Ba2GdCd
_chemical_formula_sum 'Ba2 Gd1 Cd1'
_cell_length_a 4.110
_cell_length_b 4.110
_cell_length_c 9.984
_cell_angle_alpha 90.00
_cell_angle_beta 90.00
_cell_angle_gamma 90.00
_space_group_name_H-M_alt 'P 4/m m m'
_space_group_IT_number 123
_space_group_name_Hall '-P 4 2'
loop_
_atom_site_label
_atom_site_fract_x
_atom_site_fract_y
_atom_site_fract_z
Ba1 0.000 0.000 0.218
Gd1 0.500 0.500 0.500
Cd1 0.500 0.500 0.000
# * magnetic moment: 2.20 μB per atom
# * theoretical density: 5.36 g cm⁻³
# * energy of formation from the pure elements: -0.1 eV/f.u.
# * E above lowest polymorph: 0 meV/atom
# * DOS(E_F): 7.15 states/eV/f.u.
# * crystal system: tetragonal



Record 2
# Pu4SnGe2Au (PBE, relaxed)
data_Pu4SnGe2Au
_chemical_formula_sum 'Pu12 Sn3 Ge6 Au3'
_cell_length_a 3.5812
_cell_length_b 3.5812
_cell_length_c 45.7481
_cell_angle_alpha 90.00
_cell_angle_beta 90.00
_cell_angle_gamma 120.00
_space_group_name_H-M_alt 'R -3 m'
_space_group_IT_number 166
_space_group_name_Hall '-R 3 2"'
loop_
_atom_site_label
_atom_site_fract_x
_atom_site_fract_y
_atom_site_fract_z
Pu1 0.0000 0.0000 0.0843
Pu2 0.0000 0.0000 0.3893
Sn1 0.0000 0.0000 0.0000
Ge1 0.0000 0.0000 0.2022
Au1 0.0000 0.0000 0.5000
# * magnetic moment: 0.12 μB per atom
# * theoretical density: 14.09 g cm⁻³
# * energy of formation from the pure elements: 0.0 eV/f.u.
# * DOS(E_F): 17.46 states/eV/f.u.
# * crystal system: trigonal



Record 3
# SmDyY3Sc (PBE, relaxed)
data_SmDyY3Sc
_chemical_formula_sum 'Sm4 Dy4 Y12 Sc4'
_cell_length_a 4.972
_cell_length_b 14.978
_cell_length_c 9.987
_cell_angle_alpha 90.00
_cell_angle_beta 90.00
_cell_angle_gamma 90.00
_space_group_name_H-M_alt 'C m c m'
_space_group_IT_number 63
_space_group_name_Hall '-C 2c 2'
loop_
_atom_site_label
_atom_site_fract_x
_atom_site_fract_y
_atom_site_fract_z
Sm1 0.000 0.003 0.250
Dy1 0.000 0.500 0.000
Y1 0.000 0.167 0.001
Y2 0.000 0.331 0.250
Sc1 0.000 0.333 0.750
# * magnetic moment: 0.00 μB per atom
# * theoretical density: 5.58 g cm⁻³
# * energy of formation from the pure elements: 0.2 eV/f.u.
# * DOS(E_F): 9.15 states/eV/f.u.
# * crystal system: orthorhombic